## Lu4AlFeC2 (PBE)

Data for Lu4AlFeC2 after structural relaxation.

Cell lengths 3.4551, 3.4551, 14.8072 Å; angles 90.00, 90.00, 120.00 degrees
Space group P-6m2 (No. 187)
Asymmetric unit:
Lu (0.0000, 0.0000, 0.1468) [2 per cell]
Lu (0.6667, 0.3333, 0.3255) [2 per cell]
Al (0.0000, 0.0000, 0.5000) [1 per cell]
Fe (0.6667, 0.3333, 0.0000) [1 per cell]
C (0.3333, 0.6667, 0.2365) [2 per cell]

* calculated total energy: -6.213 eV/atom



## NbCuBPd (PBE)

Data for NbCuBPd after structural relaxation.

Cell lengths 5.982, 5.982, 5.982 Å; angles 90.00, 90.00, 90.00 degrees
Space group F-43m (No. 216)
Asymmetric unit:
Nb (0.000, 0.000, 0.000) [4 per cell]
Cu (0.250, 0.250, 0.750) [4 per cell]
B (0.000, 0.000, 0.500) [4 per cell]
Pd (0.250, 0.250, 0.250) [4 per cell]

* energy above the most stable polymorph in this dataset: 221 meV/atom



Calculated volume: 153.08; 53.53 (Å³/f.u.)